Material: Mg2CrW
Method: DFT, PBE-GGA
State: relaxed

a b c (Å): 4.9081 4.9081 2.9238
angles (deg): 90.00 90.00 90.00
Closest atoms and distances in Å follow each position.
Space group P4/mmm (No. 123)
Asymmetric unit:
1 Mg 0.0000 0.5000 0.0000  4 W 2.86, 4 Cr 2.86, 2 Mg 2.92
2 Cr 0.0000 0.0000 0.5000  8 Mg 2.86, 2 Cr 2.92
3 W 0.5000 0.5000 0.5000  8 Mg 2.86, 2 W 2.92

E above lowest polymorph ... 0.462 eV per atom
Formation energy ... 72 kJ/mol of atoms
VASP energy ... -5.69 eV per atom
M_tot ... 4.07 Bohr magnetons per cell
Fermi-level density of states ... 0.49 states/eV per atom